(1)
An optimized crystal structure of AlP2O, computed with PBE.

Calculated values
Uncorrected formation energy (eV per atom): 0.0482

abc: 4.6701 4.6701 6.8523
angles: 70.08 70.08 90.00
Atoms (fractional coordinates):
Al (0.0000, 0.0000, 0.0000)
Al (0.7500, 0.2500, 0.5000)
O (0.5000, 0.5000, 0.0000)
O (0.2500, 0.7500, 0.5000)
P (0.3750, 0.4549, 0.7500)
P (0.5451, 0.1250, 0.2500)
P (0.2049, 0.6250, 0.2500)
P (0.8750, 0.7951, 0.7500)


(2)
An optimized crystal structure of Tb4Pr3Tl, computed with PBE.

Calculated values
Energy of formation (eV/atom): 0.005

abc: 4.1955 4.1955 14.5758
angles: 90.00 90.00 90.00
Atoms (fractional coordinates):
Tb (0.0000, 0.0000, 0.6323)
Tb (0.0000, 0.0000, 0.1101)
Tb (0.0000, 0.0000, 0.3677)
Tb (0.0000, 0.0000, 0.8899)
Tl (0.5000, 0.5000, 0.0000)
Pr (0.5000, 0.5000, 0.2474)
Pr (0.5000, 0.5000, 0.5000)
Pr (0.5000, 0.5000, 0.7526)


(3)
An optimized crystal structure of YFe6Co5Re, computed with PBE.

Calculated values
Energy of formation (eV/atom): -0.026

abc: 6.3914 6.3914 6.3914
angles: 137.23 97.90 97.38
Atoms (fractional coordinates):
Fe (0.2257, 0.7257, 0.5000)
Fe (0.7728, 0.2728, 0.5000)
Fe (0.9978, 0.9982, 0.4985)
Fe (0.9978, 0.4993, 0.9996)
Fe (0.4997, 0.9982, 0.0004)
Fe (0.4997, 0.4993, 0.5015)
Re (0.3617, 0.3617, 0.0000)
Co (0.6448, 0.6448, 0.0000)
Co (0.2276, 0.5007, 0.7268)
Co (0.7739, 0.5007, 0.2732)
Co (0.6419, 0.0013, 0.6406)
Co (0.3608, 0.0013, 0.3594)
Y (0.9958, 0.9958, 0.0000)


(4)
An optimized crystal structure of Er2TlPd, computed with PBE.

Calculated values
Energy of formation (eV/atom): -0.495

abc: 3.8112 3.8112 8.6935
angles: 77.34 77.34 60.00
Atoms (fractional coordinates):
Er (0.2633, 0.2633, 0.2100)
Er (0.7367, 0.7367, 0.7900)
Pd (0.0000, 0.0000, 0.0000)
Tl (0.5000, 0.5000, 0.5000)


(5)
An optimized crystal structure of K2NaZn3Sn4, computed with PBE.

Calculated values
Energy of formation (eV/atom): -0.074

abc: 4.7771 4.7771 12.0676
angles: 90.00 90.00 90.00
Atoms (fractional coordinates):
K (0.5000, 0.0000, 0.2448)
K (0.0000, 0.5000, 0.7552)
Sn (0.0000, 0.0000, 0.0000)
Sn (0.5000, 0.5000, 0.0000)
Sn (0.0000, 0.5000, 0.3575)
Sn (0.5000, 0.0000, 0.6425)
Zn (0.5000, 0.0000, 0.8653)
Zn (0.0000, 0.5000, 0.1347)
Zn (0.0000, 0.0000, 0.5000)
Na (0.5000, 0.5000, 0.5000)


(6)
An optimized crystal structure of TaPdS3, computed with PBE.

Calculated values
Uncorrected formation energy (eV per atom): 0.7916

abc: 4.5645 4.5645 4.5645
angles: 90.00 90.00 90.00
Atoms (fractional coordinates):
Ta (0.5000, 0.5000, 0.5000)
S (0.0000, 0.5000, 0.0000)
S (0.5000, 0.0000, 0.0000)
S (0.0000, 0.0000, 0.5000)
Pd (0.0000, 0.0000, 0.0000)


(7)
An optimized crystal structure of Sn4As2Se3, computed with PBE.

Calculated values
Uncorrected formation energy (eV per atom): -0.1729

abc: 11.3622 5.7766 8.9012
angles: 108.93 79.86 90.00
Atoms (fractional coordinates):
Sn (0.7817, 0.6714, 0.3477)
Sn (0.5954, 0.1498, 0.1439)
Sn (0.2183, 0.3286, 0.6523)
Sn (0.9046, 0.0059, 0.8561)
Sn (0.2817, 0.6763, 0.3477)
Sn (0.0954, 0.9941, 0.1439)
Sn (0.4046, 0.8502, 0.8561)
Sn (0.7183, 0.3237, 0.6523)
Se (0.7500, 0.4276, 0.0000)
Se (0.2181, 0.8588, 0.6942)
Se (0.2500, 0.5724, 0.0000)
Se (0.2819, 0.1646, 0.3058)
Se (0.7819, 0.1412, 0.3058)
Se (0.7181, 0.8354, 0.6942)
As (0.0234, 0.8036, 0.3905)
As (0.9766, 0.1964, 0.6095)
As (0.4766, 0.4131, 0.6095)
As (0.5234, 0.5869, 0.3905)


(8)
An optimized crystal structure of PrBe2Ir, computed with PBE.

Calculated values
Energy of formation (eV/atom): -0.448

abc: 3.9263 3.9263 5.5373
angles: 69.24 69.24 60.00
Atoms (fractional coordinates):
Be (0.8072, 0.8072, 0.5784)
Be (0.1928, 0.1928, 0.4216)
Ir (0.5000, 0.5000, 0.5000)
Pr (0.0000, 0.0000, 0.0000)


Number 1: magnetization 0.00 μB per formula unit, VASP energy -4.8319 eV/atom. Number 2: magnetization 0.00 μB per formula unit, VASP energy -4.3985 eV/atom. Number 3: magnetization 18.82 μB per formula unit, VASP energy -8.1193 eV/atom. Number 4: magnetization 0.00 μB per formula unit, VASP energy -4.6665 eV/atom. Number 5: magnetization 0.00 μB per formula unit, VASP energy -2.4088 eV/atom. Number 6: magnetization 0.00 μB per formula unit, VASP energy -5.0939 eV/atom. Number 7: magnetization 0.00 μB per formula unit, VASP energy -4.1467 eV/atom. Number 8: magnetization 0.00 μB per formula unit, VASP energy -5.7210 eV/atom.